{"formula": "Ho2TmIn3CuAg2", "functional": "GGA-PBE", "state": "optimized geometry", "lattice": [[-3.003, 2.281, 0.748], [-2.461, -5.014, 5.406], [4.853, 5.749, 1.956]], "species": ["Ag", "Ag", "Cu", "Ho", "Ho", "In", "In", "In", "Tm"], "frac_coords": [[0.500, 0.665, 0.334], [0.500, 0.334, 0.665], [0.000, 0.001, 0.001], [0.000, 0.599, 0.000], [0.000, 0.000, 0.599], [0.500, 0.253, 0.000], [0.500, 0.000, 0.253], [0.500, 0.747, 0.747], [0.000, 0.400, 0.400]], "dft_energy_ev_per_atom": -3.89}

***

{"formula": "HoCuAgS3", "functional": "GGA-PBE", "state": "optimized geometry", "lattice": [[1.902, -6.130, 0.000], [1.902, 6.130, 0.000], [0.000, 0.000, 10.261]], "species": ["Ag", "Ag", "Cu", "Cu", "Ho", "Ho", "S", "S", "S", "S", "S", "S"], "frac_coords": [[0.278, 0.722, 0.250], [0.722, 0.278, 0.750], [0.977, 0.023, 0.250], [0.023, 0.977, 0.750], [0.500, 0.500, 0.000], [0.500, 0.500, 0.500], [0.857, 0.143, 0.077], [0.590, 0.410, 0.250], [0.857, 0.143, 0.423], [0.143, 0.857, 0.577], [0.410, 0.590, 0.750], [0.143, 0.857, 0.923]], "dft_energy_ev_per_atom": -4.72}

***

Number 1: total moment 0.002 μB/f.u.. Number 2: total moment 0.029 μB/f.u..